(1)
A plane-wave DFT calculation with PBE was carried out for a relaxed structure of CaAl3Rh.

Unit cell a=6.4713 b=6.4713 c=11.1717 alpha=90.00 beta=90.00 gamma=120.00
With the nearest neighbours (Å) after each atom.
Fractional coordinates of all 20 atoms:
Ca  0.3333  0.6667  0.2500  12 Al 3.25-3.36
Ca  0.6667  0.3333  0.7500  12 Al 3.25-3.36
Ca  0.0000  0.0000  0.5000  12 Al 3.22-3.24
Ca  0.0000  0.0000  0.0000  12 Al 3.22-3.24
Al  0.1425  0.2850  0.7500  2 Rh 2.56, 2 Al 2.77
Al  0.2850  0.1425  0.2500  2 Rh 2.56, 2 Al 2.77
Al  0.8575  0.1425  0.2500  2 Rh 2.56, 2 Al 2.77
Al  0.1425  0.8575  0.7500  2 Rh 2.56, 2 Al 2.77
Al  0.7150  0.8575  0.7500  2 Rh 2.56, 2 Al 2.77
Al  0.8575  0.7150  0.2500  2 Rh 2.56, 2 Al 2.77
Al  0.5000  0.5000  0.5000  2 Rh 2.33
Al  0.5000  0.0000  0.0000  2 Rh 2.33
Al  0.5000  0.5000  0.0000  2 Rh 2.33
Al  0.5000  0.0000  0.5000  2 Rh 2.33
Al  0.0000  0.5000  0.5000  2 Rh 2.33
Al  0.0000  0.5000  0.0000  2 Rh 2.33
Rh  0.6667  0.3333  0.1244  6 Al 2.33-2.56
Rh  0.3333  0.6667  0.6244  6 Al 2.33-2.56
Rh  0.3333  0.6667  0.8756  6 Al 2.33-2.56
Rh  0.6667  0.3333  0.3756  6 Al 2.33-2.56

Summary:
formation enthalpy at 0 K	-233	kJ/mol of formula units
SG	P6_3/mmc (194)

(2)
A plane-wave DFT calculation with PBE was carried out for a relaxed structure of Y2In3Pt4.

Unit cell a=5.8653 b=7.5166 c=8.9729 alpha=90.00 beta=109.08 gamma=90.00
With the nearest neighbours (Å) after each atom.
Fractional coordinates of all 18 atoms:
Y  0.0996  0.5928  0.1992  5 Pt 3.00-3.16, 2 In 3.36
Y  0.9004  0.4072  0.8008  5 Pt 3.00-3.16, 2 In 3.36
Y  0.4004  0.0928  0.8008  5 Pt 3.00-3.16, 2 In 3.36
Y  0.5996  0.9072  0.1992  5 Pt 3.00-3.16, 2 In 3.36
In  0.0000  0.0000  0.0000  6 Pt 2.67-2.78
In  0.5000  0.5000  0.0000  6 Pt 2.67-2.78
In  0.5135  0.7500  0.5270  5 Pt 2.78-2.85, 2 In 2.93
In  0.9865  0.2500  0.4730  5 Pt 2.78-2.85, 2 In 2.93
In  0.4865  0.2500  0.4730  5 Pt 2.78-2.85, 2 In 2.93
In  0.0135  0.7500  0.5270  5 Pt 2.78-2.85, 2 In 2.93
Pt  0.6792  0.7500  0.8584  3 In 2.67-2.81, 2 Pt 2.93
Pt  0.8208  0.2500  0.1416  3 In 2.67-2.81, 2 Pt 2.93
Pt  0.3208  0.2500  0.1416  3 In 2.67-2.81, 2 Pt 2.93
Pt  0.1792  0.7500  0.8584  3 In 2.67-2.81, 2 Pt 2.93
Pt  0.1636  0.9689  0.3272  5 In 2.78-2.85, 2 Pt 3.02, 1 Y 3.03
Pt  0.8364  0.0311  0.6728  5 In 2.78-2.85, 2 Pt 3.02, 1 Y 3.03
Pt  0.3364  0.4689  0.6728  5 In 2.78-2.85, 2 Pt 3.02, 1 Y 3.03
Pt  0.6636  0.5311  0.3272  5 In 2.78-2.85, 2 Pt 3.02, 1 Y 3.03

Summary:
formation enthalpy at 0 K	-713	kJ/mol of formula units
SG	Cmce (64)

(3)
A plane-wave DFT calculation with PBE was carried out for a relaxed structure of ScC2.

Unit cell a=3.0205 b=3.0205 c=3.4864 alpha=90.00 beta=90.00 gamma=90.00
With the nearest neighbours (Å) after each atom.
Fractional coordinates of all 3 atoms:
Sc  0.0000  0.0000  0.0000  8 C 2.31
C  0.0000  0.5000  0.5000  4 C 2.14, 4 Sc 2.31
C  0.5000  0.0000  0.5000  4 C 2.14, 4 Sc 2.31

Summary:
formation enthalpy at 0 K	303	kJ/mol of formula units
SG	P4/mmm (123)

(4)
A plane-wave DFT calculation with PBE was carried out for a relaxed structure of Pr3Nd3Tl2Sn.

Unit cell a=4.3749 b=8.7746 c=8.7746 alpha=120.00 beta=90.00 gamma=90.00
With the nearest neighbours (Å) after each atom.
Fractional coordinates of all 9 atoms:
Pr  0.5000  0.7251  0.0000  2 Tl 3.21, 2 Sn 3.26
Pr  0.5000  0.0000  0.7251  2 Tl 3.21, 2 Sn 3.26
Pr  0.5000  0.2749  0.2749  2 Tl 3.21, 2 Sn 3.26
Nd  0.0000  0.6060  0.6060  1 Sn 3.46, 4 Tl 3.47, 6 Pr 3.64-3.77
Nd  0.0000  0.0000  0.3940  1 Sn 3.46, 4 Tl 3.47, 6 Pr 3.64-3.77
Nd  0.0000  0.3940  0.0000  1 Sn 3.46, 4 Tl 3.47, 6 Pr 3.64-3.77
Tl  0.5000  0.6667  0.3333  3 Pr 3.21, 6 Nd 3.47
Tl  0.5000  0.3333  0.6667  3 Pr 3.21, 6 Nd 3.47
Sn  0.0000  0.0000  0.0000  6 Pr 3.26, 3 Nd 3.46

Summary:
formation enthalpy at 0 K	-313	kJ/mol of formula units
SG	P-62m (189)

(5)
A plane-wave DFT calculation with PBE was carried out for a relaxed structure of Nb5PtC.

Unit cell a=5.6500 b=5.6500 c=9.1065 alpha=69.23 beta=69.23 gamma=61.49
With the nearest neighbours (Å) after each atom.
Fractional coordinates of all 14 atoms:
Nb  0.9719  0.6146  0.1146  1 C 2.11
Nb  0.1873  0.5478  0.5444  1 C 2.19
Nb  0.6146  0.9719  0.6146  1 C 2.11
Nb  0.9881  0.0119  0.2500  2 C 2.28
Nb  0.4522  0.8127  0.9556  1 C 2.19
Nb  0.5478  0.1873  0.0444  1 C 2.19
Nb  0.0119  0.9881  0.7500  2 C 2.28
Nb  0.3854  0.0281  0.3854  1 C 2.11
Nb  0.8127  0.4522  0.4556  1 C 2.19
Nb  0.0281  0.3854  0.8854  1 C 2.11
Pt  0.5046  0.4954  0.2500  8 Nb 2.67-2.98
Pt  0.4954  0.5046  0.7500  8 Nb 2.67-2.98
C  0.0000  0.0000  0.0000  6 Nb 2.11-2.28
C  0.0000  0.0000  0.5000  6 Nb 2.11-2.28

Summary:
formation enthalpy at 0 K	-136	kJ/mol of formula units
SG	C2/c (15)

(6)
A plane-wave DFT calculation with PBE was carried out for a relaxed structure of Nd7Tl2Pt2.

Unit cell a=7.1350 b=7.3069 c=7.1350 alpha=90.00 beta=106.89 gamma=90.00
With the nearest neighbours (Å) after each atom.
Fractional coordinates of all 11 atoms:
Nd  0.9998  0.2532  0.5003  2 Pt 2.85
Nd  0.5003  0.7468  0.9998  2 Pt 2.85
Nd  0.0002  0.7468  0.4997  2 Pt 2.85
Nd  0.4997  0.2532  0.0002  2 Pt 2.85
Nd  0.0000  0.0000  0.0000  2 Pt 3.32
Nd  0.5002  0.7541  0.4998  2 Pt 3.01, 2 Tl 3.33
Nd  0.4998  0.2459  0.5002  2 Pt 3.01, 2 Tl 3.33
Tl  0.8253  0.5000  0.8253  1 Tl 2.97
Tl  0.1747  0.5000  0.1747  1 Tl 2.97
Pt  0.7107  0.0000  0.2893  6 Nd 2.85-3.01
Pt  0.2893  0.0000  0.7107  6 Nd 2.85-3.01

Summary:
formation enthalpy at 0 K	-494	kJ/mol of formula units
SG	Cmmm (65)

(7)
A plane-wave DFT calculation with PBE was carried out for a relaxed structure of Hf5Zn4Pt.

Unit cell a=3.3429 b=3.3429 c=16.2099 alpha=90.00 beta=90.00 gamma=90.00
With the nearest neighbours (Å) after each atom.
Fractional coordinates of all 10 atoms:
Hf  0.5000  0.5000  0.0990  4 Pt 2.86, 4 Zn 2.89
Hf  0.5000  0.5000  0.2997  8 Zn 2.85-2.87
Hf  0.5000  0.5000  0.5000  8 Zn 2.87
Hf  0.5000  0.5000  0.7003  8 Zn 2.85-2.87
Hf  0.5000  0.5000  0.9010  4 Pt 2.86, 4 Zn 2.89
Zn  0.0000  0.0000  0.2016  8 Hf 2.85-2.89
Zn  0.0000  0.0000  0.4000  8 Hf 2.87
Zn  0.0000  0.0000  0.6000  8 Hf 2.87
Zn  0.0000  0.0000  0.7984  8 Hf 2.85-2.89
Pt  0.0000  0.0000  0.0000  8 Hf 2.86

Summary:
formation enthalpy at 0 K	-341	kJ/mol of formula units
SG	P4/mmm (123)

(8)
A plane-wave DFT calculation with PBE was carried out for a relaxed structure of Ba2NaCaP.

Unit cell a=6.4151 b=6.4151 c=5.6295 alpha=90.00 beta=90.00 gamma=90.00
With the nearest neighbours (Å) after each atom.
Fractional coordinates of all 5 atoms:
P  0.0000  0.0000  0.0000  2 Ca 2.81
Ca  0.0000  0.0000  0.5000  2 P 2.81
Ba  0.0000  0.5000  0.0000  2 P 3.21
Ba  0.5000  0.0000  0.0000  2 P 3.21
Na  0.5000  0.5000  0.5000  8 Ba 4.27, 4 Ca 4.54

Summary:
formation enthalpy at 0 K	-225	kJ/mol of formula units
SG	P4/mmm (123)

(9)
A plane-wave DFT calculation with PBE was carried out for a relaxed structure of LiDy3Fe.

Unit cell a=5.2137 b=5.2137 c=5.2137 alpha=90.00 beta=90.00 gamma=90.00
With the nearest neighbours (Å) after each atom.
Fractional coordinates of all 5 atoms:
Li  0.5000  0.5000  0.5000  12 Dy 3.69
Fe  0.0000  0.0000  0.0000  6 Dy 2.61
Dy  0.0000  0.5000  0.0000  2 Fe 2.61
Dy  0.0000  0.0000  0.5000  2 Fe 2.61
Dy  0.5000  0.0000  0.0000  2 Fe 2.61

Summary:
formation enthalpy at 0 K	61	kJ/mol of formula units
SG	Pm-3m (221)

(10)
A plane-wave DFT calculation with PBE was carried out for a relaxed structure of Dy5MgRh6.

Unit cell a=4.7610 b=8.2682 c=8.2682 alpha=119.78 beta=106.70 gamma=106.70
With the nearest neighbours (Å) after each atom.
Fractional coordinates of all 12 atoms:
Mg  0.0000  0.0000  0.0000  8 Rh 2.92-2.95, 4 Dy 3.27
Rh  0.2507  0.0846  0.4164  7 Dy 2.90-3.05, 1 Mg 2.92
Rh  0.7493  0.5836  0.9154  7 Dy 2.90-3.05, 1 Mg 2.92
Rh  0.7554  0.2550  0.2550  6 Dy 2.83-2.95, 2 Mg 2.94-2.95
Rh  0.2446  0.7450  0.7450  6 Dy 2.83-2.95, 2 Mg 2.94-2.95
Rh  0.2507  0.4164  0.0846  7 Dy 2.90-3.05, 1 Mg 2.92
Rh  0.7493  0.9154  0.5836  7 Dy 2.90-3.05, 1 Mg 2.92
Dy  0.5000  0.1566  0.8434  8 Rh 2.83-3.05
Dy  0.0000  0.3298  0.6702  8 Rh 2.90-2.95
Dy  0.5000  0.5000  0.5000  8 Rh 2.90-2.92
Dy  0.0000  0.6702  0.3298  8 Rh 2.90-2.95
Dy  0.5000  0.8434  0.1566  8 Rh 2.83-3.05

Summary:
formation enthalpy at 0 K	-966	kJ/mol of formula units
SG	C2/m (12)

Question: formation enthalpy at 0 K of number 6 (Nd7Tl2Pt2)?
Answer: -494 kJ/mol of formula units

Please write out number 2 again, unchanged.
A plane-wave DFT calculation with PBE was carried out for a relaxed structure of Y2In3Pt4.

Unit cell a=5.8653 b=7.5166 c=8.9729 alpha=90.00 beta=109.08 gamma=90.00
With the nearest neighbours (Å) after each atom.
Fractional coordinates of all 18 atoms:
Y  0.0996  0.5928  0.1992  5 Pt 3.00-3.16, 2 In 3.36
Y  0.9004  0.4072  0.8008  5 Pt 3.00-3.16, 2 In 3.36
Y  0.4004  0.0928  0.8008  5 Pt 3.00-3.16, 2 In 3.36
Y  0.5996  0.9072  0.1992  5 Pt 3.00-3.16, 2 In 3.36
In  0.0000  0.0000  0.0000  6 Pt 2.67-2.78
In  0.5000  0.5000  0.0000  6 Pt 2.67-2.78
In  0.5135  0.7500  0.5270  5 Pt 2.78-2.85, 2 In 2.93
In  0.9865  0.2500  0.4730  5 Pt 2.78-2.85, 2 In 2.93
In  0.4865  0.2500  0.4730  5 Pt 2.78-2.85, 2 In 2.93
In  0.0135  0.7500  0.5270  5 Pt 2.78-2.85, 2 In 2.93
Pt  0.6792  0.7500  0.8584  3 In 2.67-2.81, 2 Pt 2.93
Pt  0.8208  0.2500  0.1416  3 In 2.67-2.81, 2 Pt 2.93
Pt  0.3208  0.2500  0.1416  3 In 2.67-2.81, 2 Pt 2.93
Pt  0.1792  0.7500  0.8584  3 In 2.67-2.81, 2 Pt 2.93
Pt  0.1636  0.9689  0.3272  5 In 2.78-2.85, 2 Pt 3.02, 1 Y 3.03
Pt  0.8364  0.0311  0.6728  5 In 2.78-2.85, 2 Pt 3.02, 1 Y 3.03
Pt  0.3364  0.4689  0.6728  5 In 2.78-2.85, 2 Pt 3.02, 1 Y 3.03
Pt  0.6636  0.5311  0.3272  5 In 2.78-2.85, 2 Pt 3.02, 1 Y 3.03

Summary:
formation enthalpy at 0 K	-713	kJ/mol of formula units
SG	Cmce (64)